No. 1
This record from the Alexandria database describes a relaxed SrPd3Au2 crystal. The functional is PBE-GGA.

## Properties
Space-group type: P6/mmm (191)
Energy relative to the elements (meV per atom): -483
M_tot (Bohr magnetons per cell): 0.00
E (eV/atom): -4.45
DOS at the Fermi energy (states/eV/cell): 3.57

Structure (POSCAR):
```
SrPd3Au2
1.0
5.5788 0.0000 0.0000
-2.7894 4.8314 0.0000
0.0000 0.0000 4.5139
Sr Pd Au
1 3 2
Direct
0.0000 0.0000 0.0000 Sr
0.0000 0.5000 0.5000 Pd
0.5000 0.0000 0.5000 Pd
0.5000 0.5000 0.5000 Pd
0.3333 0.6667 0.0000 Au
0.6667 0.3333 0.0000 Au
```



No. 2
This record from the Alexandria database describes a relaxed Y6Cu2Hg crystal. The functional is PBE-GGA.

## Properties
Space-group type: Immm (71)
Energy relative to the elements (meV per atom): -231
M_tot (Bohr magnetons per cell): 0.00
E (eV/atom): -5.48
DOS at the Fermi energy (states/eV/cell): 18.24

Structure (POSCAR):
```
Y6Cu2Hg
1.0
-4.7592 4.9016 5.0860
4.7592 -4.9016 5.0860
4.7592 4.9016 -5.0860
Y Cu Hg
12 4 2
Direct
0.0459 0.2407 0.8051 Y
0.1828 0.2823 0.4651 Y
0.1828 0.7177 0.9005 Y
0.3235 0.0207 0.6972 Y
0.3235 0.6263 0.3028 Y
0.4356 0.2407 0.1949 Y
0.5644 0.7593 0.8051 Y
0.6765 0.3737 0.6972 Y
0.6765 0.9793 0.3028 Y
0.8172 0.2823 0.0995 Y
0.8172 0.7177 0.5349 Y
0.9541 0.7593 0.1949 Y
0.1197 0.6197 0.5000 Cu
0.3543 0.0000 0.3543 Cu
0.6457 0.0000 0.6457 Cu
0.8803 0.3803 0.5000 Cu
0.0000 0.0000 0.0000 Hg
0.5000 0.5000 0.0000 Hg
```



No. 3
This record from the Alexandria database describes a relaxed RbSnO crystal. The functional is PBE-GGA.

## Properties
Space-group type: Pnma (62)
M_tot (Bohr magnetons per cell): 0.00
E (eV/atom): -4.19
Formation energy from raw total energies (eV/atom): -0.877
DOS at the Fermi energy (states/eV/cell): 4.38

Structure (POSCAR):
```
RbSnO
1.0
8.8749 0.0000 0.0000
0.0000 3.3902 0.0000
0.0000 0.0000 11.2687
Rb Sn O
4 4 4
Direct
0.0150 0.2500 0.2050 Rb
0.4850 0.7500 0.7050 Rb
0.5150 0.2500 0.2950 Rb
0.9850 0.7500 0.7950 Rb
0.1695 0.2500 0.5104 Sn
0.3305 0.7500 0.0104 Sn
0.6695 0.2500 0.9896 Sn
0.8305 0.7500 0.4896 Sn
0.0435 0.7500 0.4013 O
0.4565 0.2500 0.9013 O
0.5435 0.7500 0.0987 O
0.9565 0.2500 0.5987 O
```



No. 4
This record from the Alexandria database describes a relaxed AlTc2Os crystal. The functional is PBE-GGA.

## Properties
Space-group type: R-3m (166)
Energy relative to the elements (meV per atom): -57
M_tot (Bohr magnetons per cell): 0.00
E (eV/atom): -8.98
DOS at the Fermi energy (states/eV/cell): 10.74

Structure (POSCAR):
```
AlTc2Os
1.0
2.7871 0.0000 0.0000
-1.3936 2.4137 0.0000
0.0000 0.0000 26.0404
Al Tc Os
3 6 3
Direct
0.0000 0.0000 0.0000 Al
0.3333 0.6667 0.6667 Al
0.6667 0.3333 0.3333 Al
0.0000 0.0000 0.2488 Tc
0.0000 0.0000 0.7512 Tc
0.3333 0.6667 0.4179 Tc
0.3333 0.6667 0.9155 Tc
0.6667 0.3333 0.0845 Tc
0.6667 0.3333 0.5821 Tc
0.0000 0.0000 0.5000 Os
0.3333 0.6667 0.1667 Os
0.6667 0.3333 0.8333 Os
```



No. 5
This record from the Alexandria database describes a relaxed Ti2ZnRu crystal. The functional is PBE-GGA.

## Properties
Space-group type: I-42d (122)
Energy relative to the elements (meV per atom): 29
M_tot (Bohr magnetons per cell): 0.00
E (eV/atom): -6.56
DOS at the Fermi energy (states/eV/cell): 4.91

Structure (POSCAR):
```
Ti2ZnRu
1.0
7.0603 0.0000 0.0000
0.0000 7.0603 0.0000
0.0000 0.0000 5.2918
Ti Zn Ru
8 4 4
Direct
0.2168 0.7500 0.1250 Ti
0.2500 0.2168 0.8750 Ti
0.2500 0.2832 0.3750 Ti
0.2832 0.7500 0.6250 Ti
0.7168 0.2500 0.6250 Ti
0.7500 0.7168 0.3750 Ti
0.7500 0.7832 0.8750 Ti
0.7832 0.2500 0.1250 Ti
0.0000 0.0000 0.5000 Zn
0.0000 0.5000 0.7500 Zn
0.5000 0.0000 0.2500 Zn
0.5000 0.5000 0.0000 Zn
0.0000 0.0000 0.0000 Ru
0.0000 0.5000 0.2500 Ru
0.5000 0.0000 0.7500 Ru
0.5000 0.5000 0.5000 Ru
```



No. 6
This record from the Alexandria database describes a relaxed Mn2H2W crystal. The functional is PBE-GGA.

## Properties
Space-group type: P4/mbm (127)
M_tot (Bohr magnetons per cell): 0.00
E (eV/atom): -7.23
DOS at the Fermi energy (states/eV/cell): 6.23

Structure (POSCAR):
```
Mn2H2W
1.0
5.6854 0.0000 0.0000
0.0000 5.6854 0.0000
0.0000 0.0000 2.7262
Mn H W
4 4 2
Direct
0.1293 0.3707 0.0000 Mn
0.3707 0.8707 0.0000 Mn
0.6293 0.1293 0.0000 Mn
0.8707 0.6293 0.0000 Mn
0.1446 0.6446 0.5000 H
0.3554 0.1446 0.5000 H
0.6446 0.8554 0.5000 H
0.8554 0.3554 0.5000 H
0.0000 0.0000 0.5000 W
0.5000 0.5000 0.5000 W
```



No. 7
This record from the Alexandria database describes a relaxed Ba2Al2Ag crystal. The functional is PBE-GGA.

## Properties
Space-group type: P4/mbm (127)
Energy relative to the elements (meV per atom): -19
M_tot (Bohr magnetons per cell): 0.00
E (eV/atom): -2.86
DOS at the Fermi energy (states/eV/cell): 13.94

Structure (POSCAR):
```
Ba2Al2Ag
1.0
7.5387 0.0000 0.0000
0.0000 7.5387 0.0000
0.0000 0.0000 5.4088
Ba Al Ag
4 4 2
Direct
0.1741 0.3259 0.0000 Ba
0.3259 0.8259 0.0000 Ba
0.6741 0.1741 0.0000 Ba
0.8259 0.6741 0.0000 Ba
0.1291 0.6291 0.5000 Al
0.3709 0.1291 0.5000 Al
0.6291 0.8709 0.5000 Al
0.8709 0.3709 0.5000 Al
0.0000 0.0000 0.5000 Ag
0.5000 0.5000 0.5000 Ag
```



No. 8
This record from the Alexandria database describes a relaxed Sc2ZnHg2 crystal. The functional is PBE-GGA.

## Properties
Space-group type: P4/mbm (127)
Energy relative to the elements (meV per atom): -259
M_tot (Bohr magnetons per cell): 0.00
E (eV/atom): -3.17
DOS at the Fermi energy (states/eV/cell): 7.96

Structure (POSCAR):
```
Sc2ZnHg2
1.0
7.3898 0.0000 0.0000
0.0000 7.3898 0.0000
0.0000 0.0000 3.9632
Sc Zn Hg
4 2 4
Direct
0.1643 0.3357 0.0000 Sc
0.3357 0.8357 0.0000 Sc
0.6643 0.1643 0.0000 Sc
0.8357 0.6643 0.0000 Sc
0.0000 0.0000 0.5000 Zn
0.5000 0.5000 0.5000 Zn
0.1397 0.6397 0.5000 Hg
0.3603 0.1397 0.5000 Hg
0.6397 0.8603 0.5000 Hg
0.8603 0.3603 0.5000 Hg
```